Record 1
A plane-wave DFT calculation with PBE was carried out for La5Sm2Dy6 after structural relaxation.

Summary:
* total DFT energy (no corrections): -4.653 eV/atom
* total moment: 0.0 μB/cell
* Fermi-level density of states: 1.30 states/eV/atom

```
data_La5Sm2Dy6
_symmetry_space_group_name_H-M 'P b a m'
_symmetry_Int_Tables_number 55
_cell_length_a 11.775
_cell_length_b 20.841
_cell_length_c 3.643
_cell_angle_alpha 90.00
_cell_angle_beta 90.00
_cell_angle_gamma 90.00
loop_
_symmetry_equiv_pos_as_xyz
'x,y,z'
'-x,-y,-z'
'-x,-y,z'
'x,y,-z'
'x+1/2,-y+1/2,-z'
'-x+1/2,y+1/2,z'
'-x+1/2,y+1/2,-z'
'x+1/2,-y+1/2,z'
loop_
_atom_site_label
_atom_site_type_symbol
_atom_site_fract_x
_atom_site_fract_y
_atom_site_fract_z
La1 La 0.000 0.000 0.000
La2 La 0.077 0.273 0.000
La3 La 0.201 0.548 0.000
Sm1 Sm 0.176 0.712 0.500
Dy1 Dy 0.061 0.420 0.500
Dy2 Dy 0.078 0.132 0.500
Dy3 Dy 0.179 0.863 0.000
```

---

Record 2
A plane-wave DFT calculation with PBE was carried out for In2CSBr after structural relaxation.

Summary:
* total DFT energy (no corrections): -2.710 eV/atom
* total moment: 2.4 μB/cell
* formation energy from raw total energies: 1.390 eV per atom
* Fermi-level density of states: 0.54 states/eV/atom

```
data_In2CSBr
_symmetry_space_group_name_H-M 'P 4/m m m'
_symmetry_Int_Tables_number 123
_symmetry_space_group_name_Hall '-P 4 2'
_cell_length_a 5.579
_cell_length_b 5.579
_cell_length_c 5.153
_cell_angle_alpha 90.00
_cell_angle_beta 90.00
_cell_angle_gamma 90.00
loop_
_atom_site_label
_atom_site_type_symbol
_atom_site_fract_x
_atom_site_fract_y
_atom_site_fract_z
In1 In 0.000 0.500 0.000
C1 C 0.000 0.000 0.500
S1 S 0.500 0.500 0.000
Br1 Br 0.500 0.500 0.500
```

---

Record 3
A plane-wave DFT calculation with PBE was carried out for TmGa2Cu9 after structural relaxation.

Summary:
* E above lowest polymorph: 0.0000 eV/atom
* total DFT energy (no corrections): -4.100 eV/atom
* total moment: 0.0 μB/cell
* Fermi-level density of states: 0.47 states/eV/atom

```
data_TmGa2Cu9
_symmetry_space_group_name_H-M 'I 41/a m d'
_symmetry_Int_Tables_number 141
_cell_length_a 10.085
_cell_length_b 10.085
_cell_length_c 6.595
_cell_angle_alpha 90.00
_cell_angle_beta 90.00
_cell_angle_gamma 90.00
loop_
_symmetry_equiv_pos_as_xyz
'x,y,z'
'-x,-y,-z'
'-y+1/4,x+3/4,z+1/4'
'y+1/4,-x+3/4,-z+1/4'
'-x+1/2,-y,z+1/2'
'x+1/2,y,-z+1/2'
'y+1/4,-x+1/4,z+3/4'
'-y+1/4,x+1/4,-z+3/4'
'x,-y,-z'
'-x,y,z'
'-y+1/4,-x+1/4,-z+3/4'
'y+1/4,x+1/4,z+3/4'
'-x+1/2,y,-z+1/2'
'x+1/2,-y,z+1/2'
'y+1/4,x+3/4,-z+1/4'
'-y+1/4,-x+3/4,z+1/4'
'x+1/2,y+1/2,z+1/2'
'-x+1/2,-y+1/2,-z+1/2'
'-y+3/4,x+1/4,z+3/4'
'y+3/4,-x+1/4,-z+3/4'
'-x,-y+1/2,z'
'x,y+1/2,-z'
'y+3/4,-x+3/4,z+1/4'
'-y+3/4,x+3/4,-z+1/4'
'x+1/2,-y+1/2,-z+1/2'
'-x+1/2,y+1/2,z+1/2'
'-y+3/4,-x+3/4,-z+1/4'
'y+3/4,x+3/4,z+1/4'
'-x,y+1/2,-z'
'x,-y+1/2,z'
'y+3/4,x+1/4,-z+3/4'
'-y+3/4,-x+1/4,z+3/4'
loop_
_atom_site_label
_atom_site_type_symbol
_atom_site_fract_x
_atom_site_fract_y
_atom_site_fract_z
Tm1 Tm 0.000 0.250 0.375
Ga1 Ga 0.000 0.000 0.000
Cu1 Cu 0.000 0.250 0.875
Cu2 Cu 0.122 0.042 0.678
```